An optimized crystal structure of PuNpGeAu, computed with GGA-PBE. Values from VASP.

The structure in Quantum ESPRESSO input format:
```
&SYSTEM
  ibrav = 0, nat = 4, ntyp = 4
/
ATOMIC_SPECIES
Ge 72.64 Ge.upf
Np 237.00 Np.upf
Au 196.97 Au.upf
Pu 244.00 Pu.upf
CELL_PARAMETERS angstrom
-1.2220 0.4074 4.9204
-4.1369 -2.3515 1.7961
0.4940 -4.0143 3.0839
ATOMIC_POSITIONS angstrom
Ge -3.6487 -4.4688 7.3502
Np 0.0000 0.0000 0.0000
Au -1.2162 -1.4896 2.4501
Pu -2.4324 -2.9792 4.9001
```

Results
final energy: -9.003 eV/atom
energy relative to the elements: -211 meV per atom
N(E_F): 11.51 states/eV/f.u.
crystal system: cubic
symmetry: F-43m